Entry 1:
{
  "formula": "K2CrGaSe4",
  "functional": "GGA-PBE",
  "state": "optimized geometry",
  "lattice": [[8.1962, 0.0005, -0.0376], [-0.0053, 8.1962, -0.0376], [-4.0263, -4.0291, 5.8313]],
  "species": ["Se", "Se", "Se", "Se", "Se", "Se", "Se", "Se", "K", "K", "K", "K", "Cr", "Cr", "Ga", "Ga"],
  "frac_coords": [[0.7742, 0.7259, 0.9655], [0.2258, 0.2741, 0.0345], [0.2204, 0.6875, 0.4539], [0.2259, 0.2742, 0.4655], [0.7796, 0.3125, 0.5461], [0.1875, 0.7204, 0.9539], [0.8125, 0.2796, 0.0461], [0.7741, 0.7258, 0.5345], [0.5000, 0.5000, 0.0000], [0.5000, 0.0000, 0.0000], [0.5000, 0.0000, 0.5000], [0.0000, 0.0000, 0.5000], [0.0000, 0.5000, 0.5000], [0.0000, 0.5000, 0.0000], [0.5000, 0.5000, 0.5000], [0.0000, 0.0000, 0.0000]],
  "space_group": "Imma",
  "raw_formation_energy_ev_per_fu": -5.7,
  "total_magnetization_mub_per_cell": 5.92
}

Entry 2:
{
  "formula": "Li2Ga2Pd",
  "functional": "GGA-PBE",
  "state": "optimized geometry",
  "lattice": [[6.9287, 0.0000, 0.0000], [0.0000, 6.9287, 0.0000], [0.0000, 0.0000, 2.9712]],
  "species": ["Pd", "Pd", "Li", "Li", "Li", "Li", "Ga", "Ga", "Ga", "Ga"],
  "frac_coords": [[0.5000, 0.5000, 0.0000], [0.0000, 0.0000, 0.0000], [0.6339, 0.1339, 0.0000], [0.3661, 0.8661, 0.0000], [0.8661, 0.6339, 0.0000], [0.1339, 0.3661, 0.0000], [0.3361, 0.1639, 0.5000], [0.1639, 0.6639, 0.5000], [0.8361, 0.3361, 0.5000], [0.6639, 0.8361, 0.5000]],
  "space_group": "P4/mbm",
  "relative_energy_mev_per_atom": 234,
  "ef_kcal_per_mol_atoms": -5.56,
  "total_magnetization_mub_per_cell": 0.00
}

Entry 3:
{
  "formula": "TbCe2Ru2",
  "functional": "GGA-PBE",
  "state": "optimized geometry",
  "lattice": [[-3.0734, 0.8028, -2.1478], [2.4534, -1.7094, -7.5743], [-4.6996, -6.6531, 0.8159]],
  "species": ["Ru", "Ru", "Ru", "Ru", "Tb", "Tb", "Ce", "Ce", "Ce", "Ce"],
  "frac_coords": [[0.6432, 0.6215, 0.0922], [0.3136, 0.7553, 0.6176], [0.6864, 0.2447, 0.3824], [0.3569, 0.3785, 0.9078], [0.6363, 0.0417, 0.6856], [0.3637, 0.9582, 0.3144], [0.0526, 0.5619, 0.3325], [0.8382, 0.2401, 0.0824], [0.1617, 0.7599, 0.9176], [0.9474, 0.4381, 0.6675]],
  "space_group": "C2/m",
  "relative_energy_mev_per_atom": 18,
  "ef_kcal_per_mol_atoms": -6.75,
  "total_magnetization_mub_per_cell": 0.00
}